LaCoBrO2 PBE with a Hubbard U relaxed; electronic total energy = -31.2 eV per formula unit
1.0
6.6768 0.0000 0.0000
0.0000 3.6348 0.0000
-2.0698 0.0000 7.1155
La Co Br O
2 2 2 4
direct
0.1813 0.2500 0.2045
0.8187 0.7500 0.7955
0.3394 0.2500 0.8787
0.6606 0.7500 0.1213
0.2959 0.7500 0.5956
0.7041 0.2500 0.4044
0.0430 0.2500 0.8587
0.3619 0.7500 0.0607
0.6381 0.2500 0.9393
0.9570 0.7500 0.1413